1.
TcRh2Cl: optimized geometry, PBE-GGA.

## Properties
Total energy ... -51.24 eV/cell
Energy relative to the lowest polymorph listed for this composition ... 152 meV/atom
Uncorrected formation energy ... 0.3244 eV per atom
Total magnetization ... 0.00 μB per atom
D(E_F) ... 1.4046 states/eV/atom

a = 8.6365 Å, b = 2.8108 Å, c = 6.5013 Å
α = 90.00°, β = 91.77°, γ = 90.00°
Closest atoms and distances in Å follow each position.
Space group Cm (No. 8)
One atom of each set of equivalent atoms:
Tc: 0.0000 0.0000 0.0000 (multiplicity 2)  2 Cl 2.43, 5 Rh 2.56-2.60
Rh: 0.0487 0.5000 0.6710 (multiplicity 2)  1 Cl 2.43, 2 Tc 2.60, 3 Rh 2.66-2.70
Rh: 0.2737 0.0000 0.8568 (multiplicity 2)  3 Tc 2.56-2.57, 5 Rh 2.66-2.81
Cl: 0.0547 0.5000 0.2979 (multiplicity 2)  2 Tc 2.43, 1 Rh 2.43

2.
RbPmH6Pt2: optimized geometry, PBE-GGA.

## Properties
Total energy ... -167.89 eV/cell
Total magnetization ... 0.00 μB per atom

a = 9.2410 Å, b = 8.8917 Å, c = 7.6849 Å
α = 90.00°, β = 112.32°, γ = 90.00°
Closest atoms and distances in Å follow each position.
Space group C2/c (No. 15)
One atom of each set of equivalent atoms:
Rb: 0.0000 0.0941 0.2500 (multiplicity 4)  4 H 2.67-2.81
Pm: 0.0000 0.4361 0.7500 (multiplicity 4)  8 H 2.34-2.53
H: 0.0217 0.3491 0.0461 (multiplicity 8)  1 Pt 1.70
H: 0.0937 0.1903 0.7571 (multiplicity 8)  1 Pt 1.61, 1 H 1.69
H: 0.2327 0.4134 0.3402 (multiplicity 8)  1 Pt 1.67
Pt: 0.2191 0.3289 0.1400 (multiplicity 8)  3 H 1.61-1.70

3.
TlNi2Br: optimized geometry, PBE-GGA.

## Properties
Total energy ... -56.48 eV/cell
Energy relative to the lowest polymorph listed for this composition ... 272 meV/atom
Uncorrected formation energy ... 0.3702 eV per atom
Total magnetization ... 0.00 μB per atom
D(E_F) ... 0.0005 states/eV/atom

a = 4.8618 Å, b = 4.8618 Å, c = 14.4316 Å
α = 90.00°, β = 90.00°, γ = 90.00°
Closest atoms and distances in Å follow each position.
Space group I-42d (No. 122)
One atom of each set of equivalent atoms:
Tl: 0.0000 0.0000 0.0000 (multiplicity 4)  4 Ni 2.82
Ni: 0.1316 0.2500 0.6250 (multiplicity 8)  2 Br 2.27
Br: 0.0000 0.0000 0.5000 (multiplicity 4)  4 Ni 2.27

4.
Cr2Os: optimized geometry, PBE-GGA.

## Properties
Total energy ... -29.95 eV/cell
Total magnetization ... 0.00 μB per atom
Calculated formation energy ... 176 meV/atom
D(E_F) ... 1.5184 states/eV/atom

a = 4.0829 Å, b = 4.0829 Å, c = 2.6324 Å
α = 90.00°, β = 90.00°, γ = 120.00°
Closest atoms and distances in Å follow each position.
Space group P6/mmm (No. 191)
One atom of each set of equivalent atoms:
Cr: 0.3333 0.6667 0.0000 (multiplicity 2)  5 Cr 2.36-2.63
Os: 0.0000 0.0000 0.5000 (multiplicity 1)  2 Os 2.63, 12 Cr 2.70

5.
LaCdIn2Au4: optimized geometry, PBE-GGA.

## Properties
Total energy ... -83.74 eV/cell
Total magnetization ... 0.00 μB per atom
Calculated formation energy ... -435 meV/atom
D(E_F) ... 0.4794 states/eV/atom

a = 4.7518 Å, b = 4.7518 Å, c = 27.5112 Å
α = 90.00°, β = 90.00°, γ = 120.00°
Closest atoms and distances in Å follow each position.
Space group R-3m (No. 166, hexagonal axes)
One atom of each set of equivalent atoms:
La: 0.0000 0.0000 0.0000 (multiplicity 3)  6 Au 3.17
Cd: 0.0000 0.0000 0.5000 (multiplicity 3)  8 Au 2.91-3.00
In: 0.0000 0.0000 0.2443 (multiplicity 6)  7 Au 2.88-3.11
Au: 0.0000 0.0000 0.1313 (multiplicity 6)  3 Cd 2.91, 4 In 2.98-3.11
Au: 0.0000 0.0000 0.3911 (multiplicity 6)  3 In 2.88, 1 Cd 3.00, 3 La 3.17

6.
Cs2NpZn2S4: optimized geometry, PBE-GGA.

## Properties
Total energy ... -84.59 eV/cell
Uncorrected formation energy ... -0.9541 eV per atom
Total magnetization ... 0.52 μB per atom
D(E_F) ... 1.0814 states/eV/atom

a = 15.2199 Å, b = 4.1541 Å, c = 8.1713 Å
α = 90.00°, β = 107.68°, γ = 90.00°
Closest atoms and distances in Å follow each position.
Space group C2/m (No. 12)
One atom of each set of equivalent atoms:
Cs: 0.1329 0.0000 0.0505 (multiplicity 4)  7 S 3.53-3.76, 1 Cs 3.87
Np: 0.0000 0.0000 0.5000 (multiplicity 2)  6 S 2.85-2.94
Zn: 0.1696 0.5000 0.4826 (multiplicity 4)  4 S 2.35-2.48
S: 0.0225 0.5000 0.2780 (multiplicity 4)  1 Zn 2.35
S: 0.2021 0.0000 0.6460 (multiplicity 4)  3 Zn 2.44-2.48

7.
BeV5Ge5: optimized geometry, PBE-GGA.

## Properties
Total energy ... -142.90 eV/cell
Total magnetization ... 0.00 μB per atom
Calculated formation energy ... 87 meV/atom
D(E_F) ... 0.6021 states/eV/atom

a = 9.1938 Å, b = 4.5611 Å, c = 8.0223 Å
α = 90.00°, β = 101.12°, γ = 90.00°
Closest atoms and distances in Å follow each position.
Space group C2/m (No. 12)
One atom of each set of equivalent atoms:
Be: 0.0000 0.0000 0.0000 (multiplicity 2)  6 Ge 2.27-2.28
V: 0.0000 0.0000 0.5000 (multiplicity 2)  2 Ge 2.49, 6 V 2.64-2.73
V: 0.0704 0.5000 0.6846 (multiplicity 4)  4 V 2.54-2.73, 4 Ge 2.60-2.73
V: 0.2081 0.5000 0.4199 (multiplicity 4)  4 Ge 2.47-2.64, 5 V 2.54-2.67
Ge: 0.0000 0.5000 0.0000 (multiplicity 2)  2 Be 2.28
Ge: 0.1418 0.0000 0.2649 (multiplicity 4)  1 Be 2.27, 1 V 2.49
Ge: 0.1738 0.0000 0.8319 (multiplicity 4)  1 Be 2.28, 1 V 2.47

8.
Ca2AlB: optimized geometry, PBE-GGA.

## Properties
Total energy ... -51.22 eV/cell
Energy relative to the lowest polymorph listed for this composition ... 258 meV/atom
Total magnetization ... 0.00 μB per atom
Calculated formation energy ... 404 meV/atom
D(E_F) ... 0.3294 states/eV/atom

a = 7.0231 Å, b = 7.0231 Å, c = 7.0231 Å
α = 90.00°, β = 90.00°, γ = 90.00°
Closest atoms and distances in Å follow each position.
Space group Fm-3m (No. 225)
One atom of each set of equivalent atoms:
Ca: 0.2500 0.2500 0.2500 (multiplicity 8)  4 Al 3.04, 4 B 3.04
Al: 0.0000 0.0000 0.0000 (multiplicity 4)  8 Ca 3.04
B: 0.0000 0.0000 0.5000 (multiplicity 4)  8 Ca 3.04

9.
InHPtPb2: optimized geometry, PBE-GGA.

## Properties
Total energy ... -19.59 eV/cell
Total magnetization ... 0.00 μB per atom
D(E_F) ... 0.2040 states/eV/atom

a = 5.7009 Å, b = 5.7009 Å, c = 3.4314 Å
α = 90.00°, β = 90.00°, γ = 90.00°
Closest atoms and distances in Å follow each position.
Space group P4/mmm (No. 123)
One atom of each set of equivalent atoms:
In: 0.0000 0.0000 0.0000 (multiplicity 1)  8 Pb 3.33, 2 In 3.43
H: 0.5000 0.5000 0.0000 (multiplicity 1)  2 Pt 1.72
Pt: 0.5000 0.5000 0.5000 (multiplicity 1)  2 H 1.72
Pb: 0.0000 0.5000 0.5000 (multiplicity 2)  2 Pt 2.85

10.
Y6Ho2Tm3Mg: optimized geometry, PBE-GGA.

## Properties
Total energy ... -125.03 eV/cell
Total magnetization ... 0.00 μB per atom
Calculated formation energy ... 36 meV/atom
D(E_F) ... 1.5227 states/eV/atom

a = 6.1064 Å, b = 10.5816 Å, c = 11.6443 Å
α = 90.00°, β = 100.15°, γ = 90.00°
Closest atoms and distances in Å follow each position.
Space group C2/m (No. 12)
One atom of each set of equivalent atoms:
Y: 0.2495 0.0000 0.2502 (multiplicity 4)  3 Tm 3.51, 2 Ho 3.51, 1 Mg 3.52, 6 Y 3.52-3.53
Y: 0.2489 0.3336 0.2494 (multiplicity 8)  1 Mg 3.51, 2 Ho 3.51, 3 Tm 3.52-3.53, 6 Y 3.52-3.53
Ho: 0.0000 0.1664 0.0000 (multiplicity 4)  6 Y 3.51, 3 Ho 3.52-3.53, 3 Mg 3.52-3.53
Tm: 0.0000 0.0000 0.5000 (multiplicity 2)  6 Y 3.51-3.52, 6 Tm 3.52-3.54
Tm: 0.0000 0.3342 0.5000 (multiplicity 4)  6 Y 3.51-3.53, 6 Tm 3.51-3.54
Mg: 0.0000 0.5000 0.0000 (multiplicity 2)  6 Y 3.51-3.52, 6 Ho 3.52-3.53

11.
Li2TaCl: optimized geometry, PBE-GGA.

## Properties
Total energy ... -17.24 eV/cell
Energy relative to the lowest polymorph listed for this composition ... 452 meV/atom
Uncorrected formation energy ... 0.0729 eV per atom
Total magnetization ... 0.00 μB per atom
D(E_F) ... 0.5643 states/eV/atom

a = 2.8700 Å, b = 4.7908 Å, c = 5.3916 Å
α = 90.00°, β = 90.00°, γ = 90.00°
Closest atoms and distances in Å follow each position.
Space group Pmm2 (No. 25)
One atom of each set of equivalent atoms:
Li: 0.0000 0.0000 0.0000 (multiplicity 1)  2 Cl 2.39
Li: 0.0000 0.5000 0.2607 (multiplicity 1)  4 Li 2.78-2.87, 4 Ta 3.00-3.11
Ta: 0.5000 0.5000 0.7716 (multiplicity 1)  2 Cl 2.49
Cl: 0.5000 0.0000 0.6460 (multiplicity 1)  2 Li 2.39, 2 Ta 2.49